(1)
The following is a PBE calculation of an optimized crystal structure of Al2FeRe, from the Alexandria database.

Results
Mass density: 9.023 g cm⁻³
ΔE to the lowest computed polymorph: 26 meV per atom
DOS at the Fermi energy: 4.553 states/eV/cell
Space group: P4/mmm, No. 123
E_form: -0.153 eV per atom

a b c (Å): 4.0768 4.0768 3.2777
angles (deg): 90.00 90.00 90.00
Atoms (fractional coordinates):
Al 0.0000 0.5000 0.0000
Al 0.5000 0.0000 0.0000
Fe 0.0000 0.0000 0.5000
Re 0.5000 0.5000 0.5000



(2)
The following is a PBE calculation of an optimized crystal structure of AcLa4Tb2, from the Alexandria database.

Results
Mass density: 7.004 g cm⁻³
ΔE to the lowest computed polymorph: 155 meV per atom
DOS at the Fermi energy: 19.424 states/eV/cell
Space group: Imma, No. 74
E_form: 0.187 eV per atom

a b c (Å): 9.2776 9.2776 9.2776
angles (deg): 134.96 99.75 97.13
Atoms (fractional coordinates):
Ac 0.0000 0.0000 0.0000
Ac 0.5000 0.0000 0.5000
La 0.1525 0.6485 0.5040
La 0.2423 0.2789 0.5366
La 0.2423 0.7057 0.9634
La 0.3554 0.3515 0.0040
La 0.6446 0.6485 0.9960
La 0.7577 0.2943 0.0366
La 0.7577 0.7211 0.4634
La 0.8475 0.3515 0.4960
Tb 0.0298 0.7798 0.2500
Tb 0.5000 0.0000 0.0000
Tb 0.5000 0.5000 0.5000
Tb 0.9702 0.2202 0.7500



(3)
The following is a PBE calculation of an optimized crystal structure of Pr6YHo2, from the Alexandria database.

Results
Mass density: 6.760 g cm⁻³
ΔE to the lowest computed polymorph: 0 meV per atom
DOS at the Fermi energy: 25.532 states/eV/cell
Space group: C2/c, No. 15
E_form: 0.080 eV per atom

a b c (Å): 10.2199 10.2199 6.3049
angles (deg): 95.12 95.12 71.60
Atoms (fractional coordinates):
Pr 0.0907 0.8126 0.9860
Pr 0.1447 0.4233 0.1532
Pr 0.1874 0.9093 0.5140
Pr 0.2393 0.5226 0.6815
Pr 0.4233 0.1447 0.6532
Pr 0.4774 0.7607 0.8185
Pr 0.5226 0.2393 0.1815
Pr 0.5767 0.8553 0.3468
Pr 0.7607 0.4774 0.3185
Pr 0.8126 0.0907 0.4860
Pr 0.8553 0.5767 0.8468
Pr 0.9093 0.1874 0.0140
Y 0.3991 0.6009 0.2500
Y 0.6009 0.3991 0.7500
Ho 0.0647 0.2679 0.5854
Ho 0.2679 0.0647 0.0854
Ho 0.7321 0.9353 0.9146
Ho 0.9353 0.7321 0.4146



(4)
The following is a PBE calculation of an optimized crystal structure of Pb2SeI, from the Alexandria database.

Results
Mass density: 8.572 g cm⁻³
ΔE to the lowest computed polymorph: 157 meV per atom
Formation energy without anion corrections: -0.236 eV/atom
DOS at the Fermi energy: 1.494 states/eV/cell
Space group: Fm-3m, No. 225

a b c (Å): 5.5388 5.5388 5.5388
angles (deg): 60.00 60.00 60.00
Atoms (fractional coordinates):
Pb 0.2500 0.2500 0.2500
Pb 0.7500 0.7500 0.7500
Se 0.0000 0.0000 0.0000
I 0.5000 0.5000 0.5000



(5)
The following is a PBE calculation of an optimized crystal structure of YReAu2, from the Alexandria database.

Results
Mass density: 14.248 g cm⁻³
ΔE to the lowest computed polymorph: 330 meV per atom
DOS at the Fermi energy: 2.135 states/eV/cell
Space group: R3m, No. 160
E_form: 0.357 eV per atom

a b c (Å): 9.4436 9.4436 9.4436
angles (deg): 18.99 18.99 18.99
Atoms (fractional coordinates):
Y 0.0000 0.0000 0.0000
Re 0.2480 0.2480 0.2480
Au 0.5049 0.5049 0.5049
Au 0.7546 0.7546 0.7546



(6)
The following is a PBE calculation of an optimized crystal structure of La2ErSc, from the Alexandria database.

Results
Mass density: 6.365 g cm⁻³
ΔE to the lowest computed polymorph: 7 meV per atom
DOS at the Fermi energy: 5.910 states/eV/cell
Space group: P4/mmm, No. 123
E_form: 0.048 eV per atom

a b c (Å): 5.1875 5.1875 4.7508
angles (deg): 90.00 90.00 90.00
Atoms (fractional coordinates):
La 0.0000 0.5000 0.0000
La 0.5000 0.0000 0.0000
Er 0.0000 0.0000 0.5000
Sc 0.5000 0.5000 0.5000